# K4CaTh3Se8 PBE optimized geometry
# Fermi-level density of states ... 9.50 states/eV per cell
# Magnetization ... 0.01 μB per cell
# DFT total energy ... -82.4 eV/cell
# Formation energy from raw total energies ... -25.85 eV/f.u.
# SG ... R-3m, No. 166
data_K4CaTh3Se8
_symmetry_space_group_name_H-M 'P 1'
_symmetry_Int_Tables_number 1
_cell_length_a 9.1957
_cell_length_b 9.1957
_cell_length_c 9.1957
_cell_angle_alpha 55.71
_cell_angle_beta 55.71
_cell_angle_gamma 55.71
loop_
_symmetry_equiv_pos_as_xyz
'x,y,z'
loop_
_atom_site_label
_atom_site_type_symbol
_atom_site_fract_x
_atom_site_fract_y
_atom_site_fract_z
K1 K 0.0000 0.0000 0.0000
K2 K 0.0000 0.5000 0.5000
K3 K 0.5000 0.0000 0.5000
K4 K 0.5000 0.5000 0.0000
Ca1 Ca 0.5000 0.5000 0.5000
Th1 Th 0.0000 0.0000 0.5000
Th2 Th 0.0000 0.5000 0.0000
Th3 Th 0.5000 0.0000 0.0000
Se1 Se 0.2331 0.7395 0.7395
Se2 Se 0.2384 0.2384 0.2384
Se3 Se 0.2605 0.2605 0.7669
Se4 Se 0.2605 0.7669 0.2605
Se5 Se 0.7395 0.2331 0.7395
Se6 Se 0.7395 0.7395 0.2331
Se7 Se 0.7616 0.7616 0.7616
Se8 Se 0.7669 0.2605 0.2605